No. 1
Here is a geometry-optimized Ce2Mg5Au structure from Alexandria. Energies are from PBE.

```
Ce2Mg5Au
1.0
2.5480 1.4711 8.2950
-2.5480 1.4711 8.2950
0.0000 -2.9422 8.2950
Ce Mg Au
2 5 1
Cartesian
0.0000 0.0000 6.1285
0.0000 0.0000 18.7564
0.0000 0.0000 2.9734
0.0000 0.0000 9.2351
0.0000 0.0000 12.4425
0.0000 0.0000 15.6498
0.0000 0.0000 21.9115
0.0000 0.0000 0.0000
```

## Properties
* volume: 23.32 A^3/atom
* energy of formation from the pure elements: -0.1131 eV/atom

=====

No. 2
Here is a geometry-optimized CeMg9Au2 structure from Alexandria. Energies are from PBE.

```
CeMg9Au2
1.0
-5.9337 5.9337 3.7804
5.9337 -5.9337 3.7804
5.9337 5.9337 -3.7804
Ce Mg Au
2 18 4
Cartesian
5.9337 2.9669 0.9451
0.0000 2.9669 2.8353
5.9337 -2.9669 2.8353
4.4877 -0.6055 1.3974
7.3797 -0.6055 1.3974
2.3614 1.5209 0.4927
9.5060 1.5209 0.4927
4.4877 5.3282 -1.3974
1.4460 -0.6055 2.3829
2.3614 4.4128 0.4927
3.5723 -1.5209 4.2731
2.3614 7.4546 -0.4927
3.5723 1.5209 3.2876
4.4877 6.5392 1.3974
1.4460 0.6055 5.1778
-3.5723 4.4128 3.2876
3.5723 4.4128 3.2876
-1.4460 6.5392 2.3829
1.4460 6.5392 2.3829
0.0000 8.9006 0.9451
0.0000 0.0000 0.0000
2.9669 2.9669 -1.8902
2.9669 -2.9669 1.8902
0.0000 5.9337 0.0000
```

## Properties
* volume: 22.18 A^3/atom
* energy of formation from the pure elements: -0.2583 eV/atom

=====

No. 3
Here is a geometry-optimized Ce5Mg4Au4 structure from Alexandria. Energies are from PBE.

```
Ce5Mg4Au4
1.0
-5.8855 5.8855 2.3234
5.8855 -5.8855 2.3234
5.8855 5.8855 -2.3234
Ce Mg Au
5 4 4
Cartesian
0.0000 0.0000 0.0000
4.4606 3.5590 0.0000
2.3265 -1.4249 2.3234
3.5590 7.3105 0.0000
1.4249 2.3265 2.3234
6.9028 1.1990 0.0000
1.1990 4.8683 0.0000
4.6865 1.0173 2.3234
-1.0173 4.6865 2.3234
3.0187 0.8721 0.0000
5.0135 -2.8669 2.3234
0.8721 8.7524 0.0000
2.8669 5.0135 2.3234
```

## Properties
* volume: 24.76 A^3/atom
* energy of formation from the pure elements: -0.4280 eV/atom

=====

No. 4
Here is a geometry-optimized CeMgAu4 structure from Alexandria. Energies are from PBE.

```
CeMgAu4
1.0
0.0000 3.9830 3.9830
3.9830 0.0000 3.9830
3.9830 3.9830 0.0000
Ce Mg Au
1 1 4
Cartesian
0.0000 0.0000 0.0000
5.9745 5.9745 5.9745
2.9927 2.9927 2.9927
4.9733 4.9733 2.9927
4.9733 2.9927 4.9733
2.9927 4.9733 4.9733
```

## Properties
* excess energy over the best structure of this formula in the dataset: 55.5 kJ/mol of formula units
* volume: 21.06 A^3/atom
* energy of formation from the pure elements: -0.4476 eV/atom

=====

No. 5
Here is a geometry-optimized CeMgAu structure from Alexandria. Energies are from PBE.

```
CeMgAu
1.0
0.0000 3.4493 3.4493
3.4493 0.0000 3.4493
3.4493 3.4493 0.0000
Ce Mg Au
1 1 1
Cartesian
0.0000 0.0000 0.0000
3.4493 3.4493 3.4493
5.1739 5.1739 5.1739
```

## Properties
* volume: 27.36 A^3/atom
* energy of formation from the pure elements: -0.3899 eV/atom

=====

No. 6
Here is a geometry-optimized Ce2MgAu3 structure from Alexandria. Energies are from PBE.

```
Ce2MgAu3
1.0
5.0994 0.0000 0.0000
-2.5497 4.4162 0.0000
0.0000 0.0000 12.4347
Ce Mg Au
4 2 6
Cartesian
0.0000 0.0000 0.0000
0.0000 0.0000 6.2174
0.0000 2.9441 2.2440
2.5497 1.4721 10.1908
0.0000 2.9441 8.2268
2.5497 1.4721 4.2079
0.0000 0.0000 3.1387
0.0000 0.0000 9.2961
0.0000 2.9441 5.2944
0.0000 2.9441 11.2481
2.5497 1.4721 1.1866
2.5497 1.4721 7.1403
```

## Properties
* excess energy over the best structure of this formula in the dataset: 0.0 kJ/mol of formula units
* volume: 23.34 A^3/atom
* energy of formation from the pure elements: -0.6221 eV/atom

=====

No. 7
Here is a geometry-optimized CeMgAu4 structure from Alexandria. Energies are from PBE.

```
CeMgAu4
1.0
4.7395 -1.9181 0.0000
4.7395 1.9181 0.0000
-2.3533 0.0000 6.9003
Ce Mg Au
1 1 4
Cartesian
0.0000 0.0000 0.0000
-1.1767 0.0000 3.4502
1.6322 0.0000 4.5149
2.7612 0.0000 1.4397
4.3644 0.0000 5.4606
5.4935 0.0000 2.3855
```

## Properties
* excess energy over the best structure of this formula in the dataset: 0.0 kJ/mol of formula units
* volume: 20.91 A^3/atom
* energy of formation from the pure elements: -0.5435 eV/atom

=====

No. 8
Here is a geometry-optimized CeMgAu4 structure from Alexandria. Energies are from PBE.

```
CeMgAu4
1.0
4.5108 0.0000 0.0000
0.0000 4.5108 0.0000
0.0000 0.0000 7.1273
Ce Mg Au
1 1 4
Cartesian
0.0000 0.0000 0.0000
2.2554 2.2554 3.5636
0.0000 2.2554 2.0211
0.0000 2.2554 5.1062
2.2554 0.0000 2.0211
2.2554 0.0000 5.1062
```

## Properties
* excess energy over the best structure of this formula in the dataset: 98.8 kJ/mol of formula units
* volume: 24.17 A^3/atom
* energy of formation from the pure elements: -0.3728 eV/atom

=====

| no. | magnetic moment (μB per cell) |
| --- | --- |
| 1 | 1.88 |
| 2 | 2.39 |
| 3 | 4.96 |
| 4 | 0.59 |
| 5 | 1.27 |
| 6 | 3.97 |
| 7 | 0.86 |
| 8 | 0.84 |